(1)
Material: Ba5H2Pt
Method: DFT, PBE-GGA
State: relaxed

extended XYZ file:
```
16
Lattice="-1.2306 -3.1219 5.0990 -2.5613 -3.2569 -6.2660 13.2518 -7.6102 -1.4613" Properties=species:S:1:pos:R:3 pbc="T T T"
Ba 1.3095 -5.5689 0.5601
Ba 3.6408 -6.4629 -3.0783
Ba 10.6566 -10.3043 -0.0834
Ba 4.6512 -10.7072 -1.7793
Ba 1.3195 -1.2782 -0.4641
Ba 5.8191 -7.5263 0.4501
Ba -1.1967 -3.6848 -2.5449
Ba 4.8087 -3.2819 -0.8489
Ba 8.1404 -12.7110 -2.1641
Ba 8.1504 -8.4202 -3.1884
H 11.8946 -8.8286 -2.5348
H 6.0722 -5.4849 -1.8928
H -2.4347 -5.1605 -0.0934
H 3.3876 -8.5042 -0.7355
Pt 1.9564 -3.9600 -1.9524
Pt 7.5035 -10.0291 -0.6758
```

Values from the calculation:
- total DFT energy (no corrections) (eV/cell) = -49.72
- Fermi-level density of states (states/eV/atom) = 0.705
- crystal system = orthorhombic
- spin magnetization (μB per cell) = 0.0
- symmetry = Cmcm

---

(2)
Material: BaH5Pt
Method: DFT, PBE-GGA
State: relaxed

extended XYZ file:
```
14
Lattice="4.6858 0.8039 1.7574 0.6257 4.7129 1.7574 0.9223 0.9579 8.3024" Properties=species:S:1:pos:R:3 pbc="T T T"
H 4.4526 2.9220 6.8367
H 3.4833 1.9135 4.9823
H 2.7504 4.5612 6.8348
H 4.3200 2.1267 2.6854
H 4.2144 4.3768 4.7116
H 1.9137 4.3480 9.1317
H 2.0193 2.0978 7.1055
H 1.9625 4.3969 2.6836
H 4.2712 2.0778 9.1335
H 1.7811 3.5527 4.9805
Ba 4.6753 4.8560 8.8629
Ba 1.5584 1.6187 2.9543
Pt 0.0000 0.0000 0.0000
Pt 3.1169 3.2373 5.9086
```

Values from the calculation:
- total DFT energy (no corrections) (eV/cell) = -55.91
- Fermi-level density of states (states/eV/atom) = 0.068
- crystal system = monoclinic
- spin magnetization (μB per cell) = 0.0
- symmetry = C2/m